1.
Here is Mg4Cd3Pd4 after structural relaxation from the Alexandria database. Energies are from GGA-PBE.

Cell: 3.0753 8.2246 9.2491 Å, 116.40 99.57 90.00°
Element x y z (fractional)
1 Mg 0.3388 0.1441 0.6776
2 Mg 0.6612 0.4665 0.3224
3 Mg 0.6612 0.8559 0.3224
4 Mg 0.3388 0.5335 0.6776
5 Cd 0.0978 0.0978 0.1956
6 Cd 0.9022 0.9022 0.8044
7 Cd 0.0000 0.5000 0.0000
8 Pd 0.2559 0.7559 0.5119
9 Pd 0.7441 0.2441 0.4881
10 Pd 0.5000 0.7828 0.0000
11 Pd 0.5000 0.2172 0.0000

The total energy comes out at -3.159 eV/atom. As for the space-group type: Immm (71).

***

2.
Here is EuY2Si after structural relaxation from the Alexandria database. Energies are from GGA-PBE.

Cell: 4.0451 4.0451 9.9114 Å, 78.23 78.23 60.00°
Site moments in Bohr magnetons follow the coordinates.
Element x y z (fractional)
1 Eu 0.5000 0.5000 0.5000  7.01
2 Y 0.2789 0.2789 0.1634  0.06
3 Y 0.7211 0.7211 0.8366  0.06
4 Si 0.0000 0.0000 0.0000  0.01

As for the space-group type: R-3m (166). For the formation energy from raw total energies, the calculation gives -0.217 eV/atom.

***

3.
Here is BaRe2Si after structural relaxation from the Alexandria database. Energies are from GGA-PBE.

Cell: 4.3819 4.3819 6.6180 Å, 70.64 70.64 60.00°
Element x y z (fractional)
1 Ba 0.2500 0.2500 0.2500
2 Re 0.0721 0.0721 0.7837
3 Re 0.4279 0.4279 0.7163
4 Si 0.7500 0.7500 0.7500

As for the space-group type: R-3m (166). For the formation energy from raw total energies, the calculation gives 0.035 eV/atom.